Entry 1:
An optimized crystal structure of Pr4Ho10Tm, computed with PBE-GGA.

Lattice parameters (Å, degrees): 11.2886 11.2886 7.9502 90.00 90.00 90.00
Last column: nearest neighbours and their distance in Å.
Space group I4/mmm (No. 139)
Unique sites:
Pr 0.2273 0.2273 0.0000 [8 per cell]  8 Ho 3.47-3.56, 1 Tm 3.63
Ho 0.0000 0.2080 0.2934 [16 per cell]  4 Ho 3.29-3.32, 1 Tm 3.31, 4 Pr 3.47-3.56
Ho 0.0000 0.5000 0.2500 [4 per cell]  4 Ho 3.31
Tm 0.0000 0.0000 0.0000 [2 per cell]  8 Ho 3.31, 4 Pr 3.63

Computed properties:
- Fermi-level density of states: 22.10 states/eV/f.u.
- Calculated formation energy: 269 meV/atom


Entry 2:
An optimized crystal structure of Pr12Ho5Tm2, computed with PBE-GGA.

Lattice parameters (Å, degrees): 18.0658 11.8036 6.2629 90.00 102.33 90.00
Last column: nearest neighbours and their distance in Å.
Space group C2/m (No. 12)
Unique sites:
Pr 0.0566 0.0000 0.2733 [4 per cell]  6 Pr 3.59-3.90, 2 Tm 3.62, 3 Ho 3.75-4.01
Pr 0.1036 0.2525 0.6174 [8 per cell]  1 Tm 3.35, 5 Pr 3.40-3.72, 3 Ho 3.46-3.63
Pr 0.1182 0.5000 0.0069 [4 per cell]  4 Ho 3.43-3.63, 4 Pr 3.46-3.78, 2 Tm 3.48
Pr 0.1960 0.2419 0.1975 [8 per cell]  5 Pr 3.40-3.66, 3 Ho 3.46-3.76, 1 Tm 3.51
Ho 0.0000 0.5000 0.5000 [2 per cell]  6 Pr 3.43-3.46
Ho 0.1786 0.0000 0.8589 [4 per cell]  9 Pr 3.48-3.86, 2 Ho 3.54-3.74
Ho 0.2166 0.5000 0.5576 [4 per cell]  8 Pr 3.46-3.76, 3 Ho 3.54-3.85
Tm 0.0000 0.2664 0.0000 [4 per cell]  8 Pr 3.35-3.62

Computed properties:
- Fermi-level density of states: 26.92 states/eV/f.u.
- Calculated formation energy: 99 meV/atom
- Distance to the lowest polymorph of the same formula: 0.00 eV per formula unit


Entry 3:
An optimized crystal structure of Pr8Ho2Tm3, computed with PBE-GGA.

Lattice parameters (Å, degrees): 7.7618 5.7459 10.9286 90.00 110.78 90.00
Last column: nearest neighbours and their distance in Å.
Space group P2/m (No. 10)
Unique sites:
Pr 0.0982 0.0000 0.2897 [2 per cell]  1 Tm 3.15, 1 Pr 3.16
Pr 0.1743 0.5000 0.8485 [2 per cell]  2 Ho 3.38, 4 Pr 3.57
Pr 0.3086 0.0000 0.7104 [2 per cell]  1 Tm 3.15, 1 Pr 3.16
Pr 0.3706 0.5000 0.2414 [2 per cell]  2 Tm 3.45, 2 Ho 3.64, 4 Pr 3.71-3.72
Ho 0.2614 0.0000 0.0222 [2 per cell]  8 Pr 3.38-3.64
Tm 0.2139 0.5000 0.5000 [2 per cell]  3 Tm 3.32-3.63, 6 Pr 3.45-3.59
Tm 0.5000 0.0000 0.5000 [1 per cell]  4 Pr 3.15

Computed properties:
- Fermi-level density of states: 17.66 states/eV/f.u.
- Calculated formation energy: 196 meV/atom


Entry 4:
An optimized crystal structure of Pr2HoTm6, computed with PBE-GGA.

Lattice parameters (Å, degrees): 12.7537 14.1513 6.5251 90.00 103.34 90.00
Last column: nearest neighbours and their distance in Å.
Space group C2/c (No. 15)
Unique sites:
Pr 0.1436 0.0271 0.3759 [8 per cell]  3 Pr 3.35-3.65, 7 Tm 3.41-3.66
Ho 0.0000 0.3831 0.2500 [4 per cell]  8 Tm 3.26-3.64
Tm 0.0351 0.1901 0.0022 [8 per cell]  5 Tm 3.21-3.55, 1 Ho 3.26, 3 Pr 3.41-3.55
Tm 0.1313 0.4100 0.8141 [8 per cell]  3 Tm 3.26-3.41, 2 Ho 3.35-3.64, 2 Pr 3.49-3.52
Tm 0.2410 0.2016 0.7334 [8 per cell]  7 Tm 3.35-3.70, 2 Pr 3.43-3.66, 1 Ho 3.49

Computed properties:
- Fermi-level density of states: 11.56 states/eV/f.u.
- Calculated formation energy: 114 meV/atom
- Distance to the lowest polymorph of the same formula: 0.37 eV per formula unit


Entry 5:
An optimized crystal structure of Pr8Ho3Tm, computed with PBE-GGA.

Lattice parameters (Å, degrees): 7.0987 12.0651 9.9260 90.00 104.28 90.00
Last column: nearest neighbours and their distance in Å.
Space group C2/m (No. 12)
Unique sites:
Pr 0.0688 0.2481 0.3343 [8 per cell]  1 Tm 3.51, 3 Ho 3.53-3.84, 6 Pr 3.55-3.65
Pr 0.1821 0.5000 0.1680 [4 per cell]  1 Tm 3.50, 6 Pr 3.53-3.68, 3 Ho 3.54-3.83
Pr 0.1830 0.0000 0.1642 [4 per cell]  3 Ho 3.52-3.53, 6 Pr 3.53-3.65, 1 Tm 3.86
Ho 0.0000 0.5000 0.5000 [2 per cell]  8 Pr 3.53-3.83, 2 Tm 3.55
Ho 0.2500 0.2500 0.0000 [4 per cell]  8 Pr 3.52-3.84, 2 Ho 3.55
Tm 0.0000 0.0000 0.5000 [2 per cell]  8 Pr 3.50-3.86, 2 Ho 3.55

Computed properties:
- Fermi-level density of states: 21.95 states/eV/f.u.
- Calculated formation energy: 109 meV/atom


Entry 6:
An optimized crystal structure of Pr2HoTm, computed with PBE-GGA.

Lattice parameters (Å, degrees): 3.6272 3.6272 35.0858 90.00 90.00 120.00
Last column: nearest neighbours and their distance in Å.
Space group R3m (No. 160, hexagonal axes)
Unique sites:
Pr 0.0000 0.0000 0.0000 [3 per cell]  3 Ho 3.61, 3 Tm 3.62, 6 Pr 3.63
Pr 0.0000 0.0000 0.1667 [3 per cell]  3 Tm 3.58, 3 Ho 3.59, 6 Pr 3.63
Ho 0.0000 0.0000 0.7504 [3 per cell]  6 Pr 3.59-3.61, 6 Ho 3.63
Tm 0.0000 0.0000 0.5826 [3 per cell]  6 Pr 3.58-3.62, 6 Tm 3.63

Computed properties:
- Fermi-level density of states: 5.68 states/eV/f.u.
- Calculated formation energy: 26 meV/atom
- Distance to the lowest polymorph of the same formula: 0.04 eV per formula unit


Going through the records in order, we get total magnetic moment values of 0.0, 0.0, 0.0, 0.0, 0.0, 0.0 μB/cell.